No. 1
Density functional theory data (GGA-PBE) for a relaxed MgBeAu crystal.

Values from the calculation:
- Calculated volume: 49 Å³/cell
- Density of states at the Fermi level: 0.31 states/eV/atom
- Formation energy: -0.25 eV per formula unit
- Excess energy over the best structure of this formula in the dataset: 0.41 eV per formula unit
- Total magnetization: 0.000 Bohr magnetons per cell

Cell: 4.106 4.106 4.106 Å, 60.00 60.00 60.00°
Fractional coordinates of all 3 atoms:
Mg 0.000 0.000 0.000
Be 0.250 0.250 0.250
Au 0.500 0.500 0.500

No. 2
Density functional theory data (GGA-PBE) for a relaxed Mg3Be2Au5 crystal.

Values from the calculation:
- Calculated volume: 330 Å³/cell
- Density of states at the Fermi level: 0.30 states/eV/atom
- Formation energy: -3.71 eV per formula unit
- Total magnetization: 0.000 Bohr magnetons per cell

Cell: 9.787 9.787 3.449 Å, 90.00 90.00 90.00°
Fractional coordinates of all 20 atoms:
Mg 0.000 0.000 0.000
Mg 0.174 0.326 0.000
Mg 0.326 0.826 0.000
Mg 0.500 0.500 0.000
Mg 0.674 0.174 0.000
Mg 0.826 0.674 0.000
Be 0.122 0.622 0.000
Be 0.378 0.122 0.000
Be 0.622 0.878 0.000
Be 0.878 0.378 0.000
Au 0.000 0.500 0.500
Au 0.076 0.792 0.500
Au 0.208 0.076 0.500
Au 0.292 0.576 0.500
Au 0.424 0.292 0.500
Au 0.500 0.000 0.500
Au 0.576 0.708 0.500
Au 0.708 0.424 0.500
Au 0.792 0.924 0.500
Au 0.924 0.208 0.500

No. 3
Density functional theory data (GGA-PBE) for a relaxed MgBe3Au6 crystal.

Values from the calculation:
- Calculated volume: 318 Å³/cell
- Density of states at the Fermi level: 0.14 states/eV/atom
- Formation energy: -1.93 eV per formula unit
- Total magnetization: 0.000 Bohr magnetons per cell

Cell: 7.506 7.506 5.821 Å, 90.00 90.00 103.96°
Fractional coordinates of all 20 atoms:
Mg 0.203 0.797 0.500
Mg 0.797 0.203 0.000
Be 0.062 0.277 0.394
Be 0.277 0.062 0.894
Be 0.417 0.583 0.782
Be 0.583 0.417 0.282
Be 0.723 0.938 0.394
Be 0.938 0.723 0.894
Au 0.014 0.986 0.190
Au 0.064 0.474 0.727
Au 0.254 0.746 0.030
Au 0.297 0.355 0.086
Au 0.355 0.297 0.586
Au 0.474 0.064 0.227
Au 0.526 0.936 0.727
Au 0.645 0.703 0.086
Au 0.703 0.645 0.586
Au 0.746 0.254 0.530
Au 0.936 0.526 0.227
Au 0.986 0.014 0.690

No. 4
Density functional theory data (GGA-PBE) for a relaxed MgBe2Au2 crystal.

Values from the calculation:
- Calculated volume: 140 Å³/cell
- Density of states at the Fermi level: 0.20 states/eV/atom
- Formation energy: -1.32 eV per formula unit
- Excess energy over the best structure of this formula in the dataset: 0.00 eV per formula unit
- Total magnetization: 0.000 Bohr magnetons per cell

Cell: 6.876 6.876 2.956 Å, 90.00 90.00 90.00°
Fractional coordinates of all 10 atoms:
Mg 0.000 0.000 0.000
Mg 0.500 0.500 0.000
Be 0.119 0.381 0.000
Be 0.381 0.881 0.000
Be 0.619 0.119 0.000
Be 0.881 0.619 0.000
Au 0.174 0.674 0.500
Au 0.326 0.174 0.500
Au 0.674 0.826 0.500
Au 0.826 0.326 0.500

No. 5
Density functional theory data (GGA-PBE) for a relaxed Mg2BeAu crystal.

Values from the calculation:
- Calculated volume: 64 Å³/cell
- Density of states at the Fermi level: 0.23 states/eV/atom
- Formation energy: -0.44 eV per formula unit
- Total magnetization: 0.000 Bohr magnetons per cell

Cell: 4.755 4.755 4.755 Å, 128.69 128.69 75.51°
Fractional coordinates of all 4 atoms:
Mg 0.000 0.000 0.000
Mg 0.750 0.250 0.500
Be 0.500 0.500 0.000
Au 0.250 0.750 0.500

No. 6
Density functional theory data (GGA-PBE) for a relaxed Mg2BeAu crystal.

Values from the calculation:
- Calculated volume: 67 Å³/cell
- Density of states at the Fermi level: 0.14 states/eV/atom
- Formation energy: -0.61 eV per formula unit
- Total magnetization: 0.000 Bohr magnetons per cell

Cell: 5.214 5.214 4.474 Å, 115.26 115.26 37.92°
Fractional coordinates of all 4 atoms:
Mg 0.000 0.000 0.000
Mg 0.217 0.217 0.716
Be 0.759 0.759 0.259
Au 0.445 0.445 0.445

No. 7
Density functional theory data (GGA-PBE) for a relaxed MgBe2Au3 crystal.

Values from the calculation:
- Calculated volume: 88 Å³/cell
- Density of states at the Fermi level: 0.31 states/eV/atom
- Formation energy: -1.56 eV per formula unit
- Total magnetization: 0.000 Bohr magnetons per cell

Cell: 3.048 3.048 9.470 Å, 90.00 90.00 90.00°
Fractional coordinates of all 6 atoms:
Mg 0.000 0.000 0.000
Be 0.000 0.000 0.348
Be 0.000 0.000 0.652
Au 0.500 0.500 0.201
Au 0.500 0.500 0.500
Au 0.500 0.500 0.799

No. 8
Density functional theory data (GGA-PBE) for a relaxed MgBe2Au8 crystal.

Values from the calculation:
- Calculated volume: 183 Å³/cell
- Density of states at the Fermi level: 0.21 states/eV/atom
- Formation energy: -2.25 eV per formula unit
- Total magnetization: 0.000 Bohr magnetons per cell

Cell: 6.773 6.773 4.428 Å, 99.22 99.22 110.35°
Fractional coordinates of all 11 atoms:
Mg 0.000 0.000 0.000
Be 0.324 0.676 0.500
Be 0.676 0.324 0.500
Au 0.063 0.325 0.586
Au 0.249 0.751 0.000
Au 0.325 0.063 0.586
Au 0.378 0.378 0.182
Au 0.622 0.622 0.818
Au 0.675 0.937 0.414
Au 0.751 0.249 0.000
Au 0.937 0.675 0.414

No. 9
Density functional theory data (GGA-PBE) for a relaxed MgBeAu crystal.

Values from the calculation:
- Calculated volume: 46 Å³/cell
- Density of states at the Fermi level: 0.38 states/eV/atom
- Formation energy: -0.54 eV per formula unit
- Excess energy over the best structure of this formula in the dataset: 0.12 eV per formula unit
- Total magnetization: 0.000 Bohr magnetons per cell

Cell: 5.106 5.106 5.106 Å, 143.84 143.84 52.06°
Fractional coordinates of all 3 atoms:
Mg 0.000 0.000 0.000
Be 0.694 0.694 0.000
Au 0.303 0.303 0.000

No. 10
Density functional theory data (GGA-PBE) for a relaxed Mg2BeAu crystal.

Values from the calculation:
- Calculated volume: 69 Å³/cell
- Density of states at the Fermi level: 0.31 states/eV/atom
- Formation energy: -0.73 eV per formula unit
- Total magnetization: 0.000 Bohr magnetons per cell

Cell: 3.272 4.139 5.346 Å, 90.00 107.18 90.00°
Fractional coordinates of all 4 atoms:
Mg 0.000 0.000 0.000
Mg 0.317 0.500 0.646
Be 0.721 0.000 0.444
Au 0.601 0.500 0.206

No. 11
Density functional theory data (GGA-PBE) for a relaxed Mg2Be3Au8 crystal.

Values from the calculation:
- Calculated volume: 218 Å³/cell
- Density of states at the Fermi level: 0.23 states/eV/atom
- Formation energy: -2.97 eV per formula unit
- Excess energy over the best structure of this formula in the dataset: 0.00 eV per formula unit
- Total magnetization: 0.000 Bohr magnetons per cell

Cell: 6.909 6.909 7.626 Å, 120.98 120.98 46.33°
Fractional coordinates of all 13 atoms:
Mg 0.124 0.124 0.247
Mg 0.876 0.876 0.753
Be 0.223 0.777 0.500
Be 0.500 0.500 0.000
Be 0.777 0.223 0.500
Au 0.137 0.637 0.090
Au 0.197 0.197 0.670
Au 0.363 0.863 0.910
Au 0.379 0.379 0.563
Au 0.621 0.621 0.437
Au 0.637 0.137 0.090
Au 0.803 0.803 0.330
Au 0.863 0.363 0.910

No. 12
Density functional theory data (GGA-PBE) for a relaxed Mg2Be3Au8 crystal.

Values from the calculation:
- Calculated volume: 228 Å³/cell
- Density of states at the Fermi level: 0.22 states/eV/atom
- Formation energy: -2.86 eV per formula unit
- Excess energy over the best structure of this formula in the dataset: 0.11 eV per formula unit
- Total magnetization: 0.000 Bohr magnetons per cell

Cell: 8.148 8.148 4.071 Å, 90.00 90.00 122.52°
Fractional coordinates of all 13 atoms:
Mg 0.248 0.752 0.000
Mg 0.752 0.248 0.000
Be 0.000 0.000 0.000
Be 0.252 0.252 0.500
Be 0.748 0.748 0.500
Au 0.106 0.894 0.500
Au 0.151 0.360 0.000
Au 0.360 0.151 0.000
Au 0.391 0.609 0.500
Au 0.609 0.391 0.500
Au 0.640 0.849 0.000
Au 0.849 0.640 0.000
Au 0.894 0.106 0.500

No. 13
Density functional theory data (GGA-PBE) for a relaxed MgBeAu crystal.

Values from the calculation:
- Calculated volume: 99 Å³/cell
- Density of states at the Fermi level: 0.31 states/eV/atom
- Formation energy: -0.45 eV per formula unit
- Excess energy over the best structure of this formula in the dataset: 0.21 eV per formula unit
- Total magnetization: 0.000 Bohr magnetons per cell

Cell: 10.589 10.589 10.589 Å, 163.17 163.17 23.89°
Fractional coordinates of all 6 atoms:
Mg 0.072 0.072 0.000
Mg 0.928 0.928 0.000
Be 0.218 0.218 0.000
Be 0.782 0.782 0.000
Au 0.336 0.336 0.000
Au 0.664 0.664 0.000

No. 14
Density functional theory data (GGA-PBE) for a relaxed MgBe2Au2 crystal.

Values from the calculation:
- Calculated volume: 75 Å³/cell
- Density of states at the Fermi level: 0.35 states/eV/atom
- Formation energy: -1.32 eV per formula unit
- Excess energy over the best structure of this formula in the dataset: 0.00 eV per formula unit
- Total magnetization: 0.000 Bohr magnetons per cell

Cell: 6.768 6.768 6.768 Å, 150.59 150.59 42.07°
Fractional coordinates of all 5 atoms:
Mg 0.000 0.000 0.000
Be 0.250 0.750 0.500
Be 0.750 0.250 0.500
Au 0.382 0.382 0.000
Au 0.618 0.618 0.000

No. 15
Density functional theory data (GGA-PBE) for a relaxed MgBeAu crystal.

Values from the calculation:
- Calculated volume: 48 Å³/cell
- Density of states at the Fermi level: 0.33 states/eV/atom
- Formation energy: -0.66 eV per formula unit
- Excess energy over the best structure of this formula in the dataset: 0.00 eV per formula unit
- Total magnetization: 0.000 Bohr magnetons per cell

Cell: 4.094 4.094 3.297 Å, 90.00 90.00 120.00°
Fractional coordinates of all 3 atoms:
Mg 0.000 0.000 0.000
Be 0.333 0.667 0.500
Au 0.667 0.333 0.500

No. 16
Density functional theory data (GGA-PBE) for a relaxed Mg2BeAu crystal.

Values from the calculation:
- Calculated volume: 66 Å³/cell
- Density of states at the Fermi level: 0.20 states/eV/atom
- Formation energy: -0.47 eV per formula unit
- Total magnetization: 0.000 Bohr magnetons per cell

Cell: 3.200 3.385 6.083 Å, 90.00 90.55 90.00°
Fractional coordinates of all 4 atoms:
Mg 0.001 0.000 0.261
Mg 0.999 0.000 0.739
Be 0.500 0.500 0.500
Au 0.500 0.500 0.000

No. 17
Density functional theory data (GGA-PBE) for a relaxed Mg2BeAu crystal.

Values from the calculation:
- Calculated volume: 66 Å³/cell
- Density of states at the Fermi level: 0.28 states/eV/atom
- Formation energy: -0.50 eV per formula unit
- Total magnetization: 0.000 Bohr magnetons per cell

Cell: 4.301 4.301 3.557 Å, 90.00 90.00 90.00°
Fractional coordinates of all 4 atoms:
Mg 0.000 0.500 0.000
Mg 0.500 0.000 0.000
Be 0.000 0.000 0.500
Au 0.500 0.500 0.500

No. 18
Density functional theory data (GGA-PBE) for a relaxed MgBe4Au8 crystal.

Values from the calculation:
- Calculated volume: 204 Å³/cell
- Density of states at the Fermi level: 0.29 states/eV/atom
- Formation energy: -2.30 eV per formula unit
- Total magnetization: 0.000 Bohr magnetons per cell

Cell: 6.708 6.708 6.708 Å, 99.34 99.34 132.49°
Fractional coordinates of all 13 atoms:
Mg 0.000 0.000 0.000
Be 0.000 0.000 0.500
Be 0.000 0.500 0.000
Be 0.500 0.000 0.000
Be 0.500 0.500 0.500
Au 0.000 0.310 0.310
Au 0.000 0.690 0.690
Au 0.272 0.500 0.772
Au 0.310 0.000 0.310
Au 0.500 0.272 0.772
Au 0.500 0.728 0.228
Au 0.690 0.000 0.690
Au 0.728 0.500 0.228

No. 19
Density functional theory data (GGA-PBE) for a relaxed Mg2BeAu crystal.

Values from the calculation:
- Calculated volume: 145 Å³/cell
- Density of states at the Fermi level: 0.39 states/eV/atom
- Formation energy: 0.86 eV per formula unit
- Total magnetization: 0.000 Bohr magnetons per cell

Cell: 5.835 5.835 5.835 Å, 102.61 102.61 124.30°
Fractional coordinates of all 8 atoms:
Mg 0.113 0.625 0.988
Mg 0.375 0.363 0.488
Mg 0.637 0.125 0.012
Mg 0.875 0.887 0.512
Be 0.000 0.000 0.000
Be 0.750 0.250 0.500
Au 0.250 0.750 0.500
Au 0.500 0.500 0.000

No. 20
Density functional theory data (GGA-PBE) for a relaxed Mg4BeAu crystal.

Values from the calculation:
- Calculated volume: 117 Å³/cell
- Density of states at the Fermi level: 0.25 states/eV/atom
- Formation energy: 2.05 eV per formula unit
- Total magnetization: 0.000 Bohr magnetons per cell

Cell: 5.498 5.498 5.498 Å, 60.00 60.00 60.00°
Fractional coordinates of all 6 atoms:
Mg 0.125 0.125 0.125
Mg 0.125 0.125 0.625
Mg 0.125 0.625 0.125
Mg 0.625 0.125 0.125
Be 0.500 0.500 0.500
Au 0.750 0.750 0.750

No. 21
Density functional theory data (GGA-PBE) for a relaxed MgBe4Au crystal.

Values from the calculation:
- Calculated volume: 66 Å³/cell
- Density of states at the Fermi level: 0.17 states/eV/atom
- Formation energy: -0.81 eV per formula unit
- Total magnetization: 0.000 Bohr magnetons per cell

Cell: 4.537 4.537 4.537 Å, 60.00 60.00 60.00°
Fractional coordinates of all 6 atoms:
Mg 0.000 0.000 0.000
Be 0.128 0.624 0.624
Be 0.624 0.128 0.624
Be 0.624 0.624 0.128
Be 0.624 0.624 0.624
Au 0.250 0.250 0.250

No. 22
Density functional theory data (GGA-PBE) for a relaxed Mg2BeAu5 crystal.

Values from the calculation:
- Calculated volume: 269 Å³/cell
- Density of states at the Fermi level: 0.26 states/eV/atom
- Formation energy: -2.92 eV per formula unit
- Total magnetization: 0.000 Bohr magnetons per cell

Cell: 5.572 11.157 4.327 Å, 90.00 90.00 90.00°
Fractional coordinates of all 16 atoms:
Mg 0.177 0.148 0.000
Mg 0.323 0.648 0.000
Mg 0.677 0.352 0.000
Mg 0.823 0.852 0.000
Be 0.000 0.500 0.500
Be 0.500 0.000 0.500
Au 0.000 0.000 0.500
Au 0.040 0.725 0.500
Au 0.183 0.409 0.000
Au 0.317 0.909 0.000
Au 0.460 0.225 0.500
Au 0.500 0.500 0.500
Au 0.540 0.775 0.500
Au 0.683 0.091 0.000
Au 0.817 0.591 0.000
Au 0.960 0.275 0.500

No. 23
Density functional theory data (GGA-PBE) for a relaxed MgBeAu4 crystal.

Values from the calculation:
- Calculated volume: 115 Å³/cell
- Density of states at the Fermi level: 0.77 states/eV/atom
- Formation energy: 0.92 eV per formula unit
- Excess energy over the best structure of this formula in the dataset: 2.26 eV per formula unit
- Total magnetization: 0.000 Bohr magnetons per cell

Cell: 5.466 5.466 5.466 Å, 60.00 60.00 60.00°
Fractional coordinates of all 6 atoms:
Mg 0.000 0.000 0.000
Be 0.250 0.250 0.250
Au 0.125 0.625 0.625
Au 0.625 0.125 0.625
Au 0.625 0.625 0.125
Au 0.625 0.625 0.625

No. 24
Density functional theory data (GGA-PBE) for a relaxed MgBe6Au12 crystal.

Values from the calculation:
- Calculated volume: 290 Å³/cell
- Density of states at the Fermi level: 0.38 states/eV/atom
- Formation energy: -1.98 eV per formula unit
- Total magnetization: 0.000 Bohr magnetons per cell

Cell: 7.224 7.224 7.224 Å, 109.47 109.47 109.47°
Fractional coordinates of all 19 atoms:
Mg 0.000 0.000 0.000
Be 0.130 0.500 0.630
Be 0.370 0.870 0.500
Be 0.500 0.370 0.870
Be 0.500 0.630 0.130
Be 0.630 0.130 0.500
Be 0.870 0.500 0.370
Au 0.124 0.299 0.825
Au 0.175 0.474 0.299
Au 0.175 0.876 0.701
Au 0.299 0.175 0.474
Au 0.299 0.825 0.124
Au 0.474 0.299 0.175
Au 0.526 0.701 0.825
Au 0.701 0.175 0.876
Au 0.701 0.825 0.526
Au 0.825 0.124 0.299
Au 0.825 0.526 0.701
Au 0.876 0.701 0.175